1.
Tm4ZnHg | the Alexandria database | GGA-PBE | optimized geometry; crystal system = tetragonal; ΔH_f (0 K) = -0.0531 eV/atom
1.0
4.9285 0.0001 -0.0019
-0.0001 4.9284 -0.0027
0.0028 0.0046 7.0794
Tm Zn Hg
4 1 1
direct
0.5013 0.9972 0.2553
0.5014 0.9974 0.7410
0.0014 0.4974 0.7410
0.0012 0.4972 0.2553
0.0013 0.9973 0.4981
0.5013 0.4973 0.9981

2.
Tm8Zn2Hg | the Alexandria database | GGA-PBE | optimized geometry; crystal system = monoclinic; ΔH_f (0 K) = -0.1727 eV/atom
1.0
-3.8632 2.2822 2.2228
-4.1304 -5.3880 -1.6466
5.4648 -2.8000 6.7324
Tm Zn Hg
8 2 1
direct
0.4068 0.5341 0.8137
0.6714 0.9719 0.3427
0.8020 0.6857 0.6041
0.9707 0.2349 0.9414
0.1980 0.3143 0.3959
0.3286 0.0281 0.6573
0.5932 0.4659 0.1863
0.0293 0.7651 0.0586
0.8147 0.2923 0.6293
0.1853 0.7077 0.3707
0.5000 0.0000 0.0000

3.
TmZnHg6 | the Alexandria database | GGA-PBE | optimized geometry; crystal system = trigonal; ΔH_f (0 K) = 0.1342 eV/atom
1.0
6.1987 0.0000 1.3847
2.9447 5.4546 1.3847
1.4063 0.8390 8.2710
Tm Zn Hg
1 1 6
direct
0.0000 0.0000 0.0000
0.5000 0.5000 0.5000
0.0717 0.0717 0.3033
0.0717 0.5532 0.3033
0.4468 0.9283 0.6967
0.9283 0.4468 0.6967
0.9283 0.9283 0.6967
0.5532 0.0717 0.3033

4.
Tm4Zn3Hg | the Alexandria database | GGA-PBE | optimized geometry; crystal system = tetragonal; relative energy among the computed polymorphs = 0.000 eV/atom; ΔH_f (0 K) = -0.3783 eV/atom
1.0
-1.8356 -4.3945 1.5613
3.0585 -3.2766 -5.6265
8.2959 -1.5436 5.4085
Zn Tm Hg
6 8 2
direct
0.0000 0.0000 0.0000
0.0000 0.0000 0.5000
0.5006 0.0000 0.7500
0.4994 0.0000 0.2500
0.5006 0.5000 0.7500
0.4994 0.5000 0.2500
0.5000 0.7585 0.0000
0.5000 0.7585 0.5000
0.5000 0.2415 0.0000
0.5000 0.2415 0.5000
0.0006 0.7585 0.7500
0.9994 0.7585 0.2500
0.9994 0.2415 0.2500
0.0006 0.2415 0.7500
0.0000 0.5000 0.0000
0.0000 0.5000 0.5000

5.
Tm4Zn2Hg5 | the Alexandria database | GGA-PBE | optimized geometry; crystal system = monoclinic; ΔH_f (0 K) = -0.3592 eV/atom
1.0
-2.8041 -1.0433 1.9887
-2.9177 -3.6450 -6.0260
4.8120 -7.5966 2.7996
Tm Zn Hg
4 2 5
direct
0.5000 0.7461 0.5773
0.5000 0.1870 0.8666
0.5000 0.2539 0.4227
0.5000 0.8130 0.1334
0.0000 0.0630 0.6249
0.0000 0.9370 0.3751
0.0000 0.5671 0.3273
0.0000 0.1557 0.1447
0.0000 0.5000 0.0000
0.0000 0.8443 0.8553
0.0000 0.4329 0.6727

6.
Tm2Zn2Hg | the Alexandria database | GGA-PBE | optimized geometry; crystal system = monoclinic; ΔH_f (0 K) = -0.3287 eV/atom
1.0
4.5156 0.0000 0.0000
2.2578 5.3714 -0.5431
2.2578 -0.1821 9.1615
Tm Zn Hg
4 4 2
direct
0.6855 0.2966 0.3324
0.9122 0.2699 0.9057
0.3145 0.7034 0.6676
0.0878 0.7301 0.0943
0.0560 0.3170 0.5710
0.6452 0.8224 0.8871
0.9440 0.6830 0.4290
0.3548 0.1776 0.1129
0.6085 0.1186 0.6643
0.3915 0.8814 0.3357